# 1
{
  "formula": "DyNb6Sn6",
  "functional": "PBE",
  "state": "relaxed",
  "e_form_mev_per_atom": -317,
  "space_group": "Immm",
  "cell": [[-0.1988, -5.1595, 2.6435], [1.9446, -5.6756, -4.5670], [6.6288, -1.9801, 2.9981]],
  "species": ["Sn", "Sn", "Sn", "Sn", "Sn", "Sn", "Nb", "Nb", "Nb", "Nb", "Nb", "Nb", "Dy"],
  "fractional_positions": [[0.6642, 0.8358, 0.8358], [0.3358, 0.1642, 0.1642], [0.0000, 0.3263, 0.6737], [0.3328, 0.6672, 0.6672], [0.0000, 0.6737, 0.3263], [0.6672, 0.3328, 0.3328], [0.0000, 0.5000, 0.0000], [0.5000, 0.5000, 0.0000], [0.0000, 0.0000, 0.5000], [0.5000, 0.0000, 0.5000], [0.5000, 0.2522, 0.7478], [0.5000, 0.7478, 0.2522], [0.0000, 0.0000, 0.0000]]
}

=====

# 2
{
  "formula": "La3Tb2Y2",
  "functional": "PBE",
  "state": "relaxed",
  "e_form_mev_per_atom": 108,
  "space_group": "C2/m",
  "de_polymorph_mev_per_atom": 63,
  "cell": [[3.5356, 0.0000, 0.0000], [0.0000, 8.6701, -0.7122], [-1.7678, -3.6068, 8.1474]],
  "species": ["La", "La", "La", "Tb", "Tb", "Y", "Y"],
  "fractional_positions": [[0.2135, 0.7973, 0.4270], [0.0000, 0.5000, 0.0000], [0.7865, 0.2027, 0.5730], [0.1425, 0.3227, 0.2850], [0.8575, 0.6773, 0.7150], [0.4356, 0.0899, 0.8713], [0.5644, 0.9101, 0.1287]]
}

=====

# 3
{
  "formula": "Zr2SiNi",
  "functional": "PBE",
  "state": "relaxed",
  "e_form_raw_ev_per_atom": -0.45,
  "space_group": "P4/mmm",
  "cell": [[-0.5192, 4.2676, -0.2057], [-3.1538, -0.5225, -2.8808], [-2.4897, -0.1700, 2.7565]],
  "species": ["Zr", "Zr", "Ni", "Si"],
  "fractional_positions": [[0.0000, 0.0000, 0.0000], [0.5000, 0.5000, 0.0000], [0.5000, 0.0000, 0.5000], [0.0000, 0.5000, 0.5000]]
}

=====

# 4
{
  "formula": "Na4Cd4Hg3",
  "functional": "PBE",
  "state": "relaxed",
  "e_form_mev_per_atom": -177,
  "space_group": "C2/m",
  "cell": [[2.5310, 16.9887, 1.1333], [-2.5310, 16.9887, 1.1333], [0.0000, 0.4302, 3.2027]],
  "species": ["Hg", "Hg", "Hg", "Cd", "Cd", "Cd", "Cd", "Na", "Na", "Na", "Na"],
  "fractional_positions": [[0.6389, 0.6389, 0.2349], [0.3611, 0.3611, 0.7651], [0.0000, 0.0000, 0.5000], [0.2717, 0.2717, 0.9546], [0.7283, 0.7283, 0.0454], [0.0905, 0.0905, 0.3311], [0.9095, 0.9095, 0.6689], [0.4504, 0.4504, 0.0851], [0.8186, 0.8186, 0.3543], [0.5496, 0.5496, 0.9149], [0.1814, 0.1814, 0.6457]]
}

=====

# 5
{
  "formula": "LaYBi",
  "functional": "PBE",
  "state": "relaxed",
  "e_form_mev_per_atom": -517,
  "space_group": "I4mm",
  "cell": [[-1.1862, -3.9516, 0.3963], [3.4194, -0.8059, 2.1994], [-3.8627, 3.6790, 3.4479]],
  "species": ["La", "Bi", "Y"],
  "fractional_positions": [[0.2746, 0.2746, 0.5493], [0.6047, 0.6047, 0.2093], [0.9707, 0.9707, 0.9414]]
}

=====

# 6
{
  "formula": "Pt2RhBr",
  "functional": "PBE",
  "state": "relaxed",
  "e_form_raw_ev_per_atom": 0.46,
  "space_group": "Cmm2",
  "de_polymorph_mev_per_atom": 73,
  "cell": [[-1.8418, -2.0074, -0.9097], [2.3739, 0.6276, -1.4901], [4.8822, -6.7213, 4.9469]],
  "species": ["Pt", "Pt", "Br", "Rh"],
  "fractional_positions": [[0.0000, 0.0000, 0.0174], [0.5000, 0.5000, 0.2628], [0.5000, 0.5000, 0.7240], [0.0000, 0.0000, 0.4958]]
}

=====

Values of Fermi-level density of states, in order: 4.13 10.79 4.93 3.45 2.99 4.72, all in states/eV per cell.
Values of mass density, in order: 8.47 6.30 6.49 6.96 7.49 13.95, all in g/cm³.